Here is a geometry-optimized BAs2PCl structure from Alexandria via LeMat-Bulk. Energies are from PBE.

Cell: 4.711 4.711 3.927 Å, 90.00 90.00 90.00°
Fractional positions:
B (0.000, 0.000, 0.000)
As (0.000, 0.500, 0.000)
As (0.500, 0.000, 0.000)
P (0.000, 0.000, 0.500)
Cl (0.500, 0.500, 0.500)

Summary:
VASP energy: -19.145 eV per cell
Total moment: 0.00 μB per cell
Density of states at the Fermi level: 0.6583 states/eV per atom
SG: P4/mmm, No. 123
Energy relative to the elements, uncorrected: 0.8177 eV per atom